Material: Eu2Ga2GeS7
Method: DFT, PBE
State: relaxed

The density comes out at 4.11 g/cm³. Its uncorrected formation energy is -1.103 eV/atom.

It has space group P-42_1m (No. 113), with a = 9.717 Å, b = 9.717 Å, c = 6.338 Å, α = 90.00°, β = 90.00° and γ = 90.00°. The inequivalent atoms are Eu at (0.152, 0.348, 0.017), Ga at (0.147, 0.647, 0.524), Ge at (0.000, 0.000, 0.500), S at (0.000, 0.500, 0.695), S at (0.083, 0.841, 0.724) and S at (0.145, 0.645, 0.176).

Material: YIn3As
Method: DFT, PBE
State: relaxed

Its energy above the lowest structure with this stoichiometry is 0.00 kcal/mol of atoms. For the energy of formation from the pure elements, the calculation gives 0.27 eV/atom. The density comes out at 5.61 g/cm³.

It has space group Pm-3m (No. 221), with a = 5.319 Å, b = 5.319 Å, c = 5.319 Å, α = 90.00°, β = 90.00° and γ = 90.00°. The inequivalent atoms are Y at (0.000, 0.000, 0.000), In at (0.000, 0.500, 0.500) and As at (0.500, 0.500, 0.500).

Question: What is the formula in the second record?
Answer: YIn3As